# 1
Entry from Alexandria: a relaxed CaPmSn4 crystal (PBE).

a = 11.3837 Å, b = 11.3837 Å, c = 6.5283 Å
α = 90.00°, β = 90.00°, γ = 155.68°
Atoms (fractional coordinates):
Ca  0.2246  0.7754  0.7500
Ca  0.7754  0.2246  0.2500
Pm  0.0686  0.9314  0.2500
Pm  0.9314  0.0686  0.7500
Sn  0.0805  0.9195  0.7500
Sn  0.3504  0.6496  0.5005
Sn  0.3504  0.6496  0.9995
Sn  0.5000  0.5000  0.0000
Sn  0.5000  0.5000  0.5000
Sn  0.6496  0.3504  0.0005
Sn  0.6496  0.3504  0.4995
Sn  0.9195  0.0805  0.2500

Values from the calculation:
DFT formation energy, meV per atom: -492.8
VASP energy, eV/atom: -4.29
Symmetry: Cmcm (63)

# 2
Entry from Alexandria: a relaxed CsNaPCl6 crystal (PBE).

a = 6.8999 Å, b = 6.8999 Å, c = 7.4385 Å
α = 90.00°, β = 90.00°, γ = 120.00°
Atoms (fractional coordinates):
Cs  0.0000  0.0000  0.0000
Na  0.3333  0.6667  0.5000
P  0.6667  0.3333  0.5000
Cl  0.4001  0.0570  0.6800
Cl  0.4001  0.3431  0.3200
Cl  0.6569  0.0570  0.3200
Cl  0.6569  0.5999  0.6800
Cl  0.9430  0.3431  0.6800
Cl  0.9430  0.5999  0.3200

Values from the calculation:
Formation energy without anion corrections, eV/f.u.: -9.8
VASP energy, eV/atom: -3.16
Symmetry: P312 (149)

# 3
Entry from Alexandria: a relaxed Np2GaN crystal (PBE).

a = 3.0665 Å, b = 3.0665 Å, c = 25.3479 Å
α = 90.00°, β = 90.00°, γ = 120.00°
Atoms (fractional coordinates):
Np  0.0000  0.0000  0.2275
Np  0.0000  0.0000  0.7725
Np  0.3333  0.6667  0.4391
Np  0.3333  0.6667  0.8942
Np  0.6667  0.3333  0.1058
Np  0.6667  0.3333  0.5609
Ga  0.0000  0.0000  0.0000
Ga  0.3333  0.6667  0.6667
Ga  0.6667  0.3333  0.3333
N  0.0000  0.0000  0.5000
N  0.3333  0.6667  0.1667
N  0.6667  0.3333  0.8333

Values from the calculation:
Formation energy without anion corrections, eV/f.u.: -1.6
VASP energy, eV/atom: -9.71
Symmetry: R-3m (166)

# 4
Entry from Alexandria: a relaxed CaThTe3 crystal (PBE).

a = 8.5764 Å, b = 4.4967 Å, c = 17.6167 Å
α = 90.00°, β = 90.00°, γ = 90.00°
Atoms (fractional coordinates):
Ca  0.0892  0.2500  0.2205
Ca  0.4108  0.7500  0.7205
Ca  0.5892  0.2500  0.2795
Ca  0.9108  0.7500  0.7795
Th  0.2461  0.7500  0.4592
Th  0.2539  0.2500  0.9592
Th  0.7461  0.7500  0.0408
Th  0.7539  0.2500  0.5408
Te  0.0116  0.2500  0.4039
Te  0.1224  0.7500  0.0694
Te  0.1825  0.2500  0.7820
Te  0.3175  0.7500  0.2820
Te  0.3776  0.2500  0.5694
Te  0.4884  0.7500  0.9039
Te  0.5116  0.2500  0.0961
Te  0.6224  0.7500  0.4306
Te  0.6825  0.2500  0.7180
Te  0.8175  0.7500  0.2180
Te  0.8776  0.2500  0.9306
Te  0.9884  0.7500  0.5961

Values from the calculation:
Formation energy without anion corrections, eV/f.u.: -6.7
VASP energy, eV/atom: -5.12
Symmetry: Pnma (62)